(a)
Pr2Nd4Tm3 | PBE | optimized geometry

Calculated values
Size of the total moment (μB per atom): 0.000

Cell: 3.6324 3.6324 27.0179 Å, 90.00 90.00 120.00°
Space group P3m1 (No. 156)
Symmetry-distinct sites (fractional):
Pr 0.0000 0.0000 0.0000 (multiplicity 1)
Pr 0.0000 0.0000 0.2119 (multiplicity 1)
Nd 0.0000 0.0000 0.3468 (multiplicity 1)
Nd 0.0000 0.0000 0.5570 (multiplicity 1)
Nd 0.3333 0.6667 0.6718 (multiplicity 1)
Nd 0.3333 0.6667 0.8838 (multiplicity 1)
Tm 0.0000 0.0000 0.7779 (multiplicity 1)
Tm 0.3333 0.6667 0.1073 (multiplicity 1)
Tm 0.3333 0.6667 0.4505 (multiplicity 1)

***

(b)
Pr2Nd4Tm3 | PBE | optimized geometry

Calculated values
Size of the total moment (μB per atom): 0.000

Cell: 11.4484 5.1414 10.8459 Å, 90.00 108.26 90.00°
Space group C2/m (No. 12)
Symmetry-distinct sites (fractional):
Pr 0.1673 0.0000 0.2251 (multiplicity 4)
Nd 0.0019 0.5000 0.3347 (multiplicity 4)
Nd 0.1669 0.0000 0.8881 (multiplicity 4)
Tm 0.0000 0.5000 0.0000 (multiplicity 2)
Tm 0.1649 0.0000 0.5532 (multiplicity 4)

***

Most stable structure - (b); separation to the second - 33 meV/atom.

***

(a)
PrNd2Tm9 | PBE | optimized geometry

Calculated values
Size of the total moment (μB per atom): 0.000

Cell: 5.0049 5.0049 15.0147 Å, 90.00 90.00 90.00°
Space group P4/mmm (No. 123)
Symmetry-distinct sites (fractional):
Pr 0.0000 0.0000 0.0000 (multiplicity 1)
Nd 0.0000 0.0000 0.3336 (multiplicity 2)
Tm 0.0000 0.5000 0.1674 (multiplicity 4)
Tm 0.0000 0.5000 0.5000 (multiplicity 2)
Tm 0.5000 0.5000 0.0000 (multiplicity 1)
Tm 0.5000 0.5000 0.3338 (multiplicity 2)

***

(b)
PrNd2Tm9 | PBE | optimized geometry

Calculated values
Size of the total moment (μB per atom): 0.000

Cell: 11.1894 11.1894 3.5093 Å, 90.00 90.00 120.00°
Space group P6/mmm (No. 191)
Symmetry-distinct sites (fractional):
Pr 0.0000 0.0000 0.0000 (multiplicity 1)
Nd 0.3333 0.6667 0.0000 (multiplicity 2)
Tm 0.0000 0.5000 0.0000 (multiplicity 3)
Tm 0.1765 0.3531 0.5000 (multiplicity 6)

***

Most stable structure - (a); separation to the second - 34 meV/atom.

***

(a)
Pr2Nd5Tm3 | PBE | optimized geometry

Calculated values
Size of the total moment (μB per atom): 0.000

Cell: 10.9771 15.6417 9.7308 Å, 90.00 123.95 90.00°
Space group C2/c (No. 15)
Symmetry-distinct sites (fractional):
Pr 0.1447 0.1213 0.0528 (multiplicity 8)
Nd 0.0000 0.2304 0.2500 (multiplicity 4)
Nd 0.0000 0.2681 0.7500 (multiplicity 4)
Nd 0.0000 0.4670 0.7500 (multiplicity 4)
Nd 0.2329 0.3845 0.2227 (multiplicity 8)
Tm 0.0000 0.0248 0.2500 (multiplicity 4)
Tm 0.1586 0.3806 0.5468 (multiplicity 8)

***

(b)
Pr2Nd5Tm3 | PBE | optimized geometry

Calculated values
Size of the total moment (μB per atom): 0.000

Cell: 9.5097 22.1337 6.8648 Å, 90.00 90.00 90.00°
Space group Ibam (No. 72)
Symmetry-distinct sites (fractional):
Pr 0.1005 0.1211 0.0000 (multiplicity 8)
Nd 0.0000 0.2474 0.2500 (multiplicity 8)
Nd 0.0000 0.5000 0.2500 (multiplicity 4)
Nd 0.0928 0.3732 0.5000 (multiplicity 8)
Tm 0.0000 0.0000 0.2500 (multiplicity 4)
Tm 0.2465 0.1184 0.5000 (multiplicity 8)

***

Most stable structure - (a); separation to the second - 189 meV/atom.

***

(a)
Pr2Nd2Tm5 | PBE | optimized geometry

Calculated values
Size of the total moment (μB per atom): 0.000

Cell: 15.0038 11.8810 6.7393 Å, 90.00 90.00 90.00°
Space group Ima2 (No. 46)
Symmetry-distinct sites (fractional):
Pr 0.0000 0.0000 0.0000 (multiplicity 4)
Pr 0.2500 0.0110 0.1023 (multiplicity 4)
Nd 0.1268 0.5060 0.0529 (multiplicity 8)
Tm 0.0538 0.7400 0.6993 (multiplicity 8)
Tm 0.1416 0.2349 0.8904 (multiplicity 8)
Tm 0.2500 0.7470 0.9010 (multiplicity 4)

***

(b)
Pr2Nd2Tm5 | PBE | optimized geometry

Calculated values
Size of the total moment (μB per atom): 0.000

Cell: 21.4583 3.5000 8.3281 Å, 90.00 99.84 90.00°
Space group C2/m (No. 12)
Symmetry-distinct sites (fractional):
Pr 0.1864 0.0000 0.1431 (multiplicity 4)
Nd 0.0454 0.5000 0.3536 (multiplicity 4)
Tm 0.0000 0.0000 0.0000 (multiplicity 2)
Tm 0.1012 0.0000 0.7385 (multiplicity 4)
Tm 0.1901 0.5000 0.5227 (multiplicity 4)

***

Most stable structure - (a); separation to the second - 35 meV/atom.